5
Lattice="6.0271 0.0000 0.0000 0.0000 6.0271 0.0000 0.0000 0.0000 5.5763" Properties=species:S:1:pos:R:3 comment="Ba2SrReS (GGA-PBE, optimized geometry)" total_magnetization_mub_per_cell=2.7 space_group="P4/mmm (123)" e_form_raw_ev_per_atom=0.2711 pbc="T T T"
Ba 0.0000 3.0136 0.0000
Ba 3.0136 0.0000 0.0000
Sr 0.0000 0.0000 2.7881
Re 3.0136 3.0136 2.7881
S 0.0000 0.0000 0.0000